# 1
BaRe2Tc | meta-GGA SCAN | single point on PBEsol structure

Geometry as POSCAR:
```
BaRe2Tc
1.0
3.1584 0.0000 0.0000
0.0000 3.1584 0.0000
0.0000 0.0000 8.0010
Ba Re Tc
1 2 1
direct
0.0000 0.0000 0.0000
0.0000 0.0000 0.5003
0.5000 0.5000 0.3281
0.5000 0.5000 0.6654
```

total energy	-213.85	eV/f.u.
symmetry	P4mm
ΔE_f	739	meV/atom

# 2
BaReTe3 | meta-GGA SCAN | single point on PBEsol structure

Geometry as POSCAR:
```
BaReTe3
1.0
5.3646 0.0000 0.0000
0.0000 5.3646 0.0000
0.0000 0.0000 5.3646
Ba Re Te
1 1 3
direct
0.0000 0.0000 0.0000
0.5000 0.5000 0.5000
0.0000 0.5000 0.5000
0.5000 0.0000 0.5000
0.5000 0.5000 0.0000
```

total energy	-223.56	eV/f.u.
formation energy from raw total energies	-0.23	eV/atom
symmetry	Pm-3m

# 3
BaReTe | meta-GGA SCAN | single point on PBEsol structure

Geometry as POSCAR:
```
BaReTe
1.0
6.8319 0.0000 0.0000
0.0000 6.8319 0.0000
0.0000 0.0000 6.8319
Ba Re Te
4 4 4
direct
0.0000 0.0000 0.0000
0.0000 0.5000 0.5000
0.5000 0.0000 0.5000
0.5000 0.5000 0.0000
0.2500 0.2500 0.7500
0.2500 0.7500 0.2500
0.7500 0.2500 0.2500
0.7500 0.7500 0.7500
0.0000 0.0000 0.5000
0.0000 0.5000 0.0000
0.5000 0.0000 0.0000
0.5000 0.5000 0.5000
```

total energy	-145.66	eV/f.u.
formation energy from raw total energies	0.75	eV/atom
symmetry	F-43m

# 4
Ba2ReTe | meta-GGA SCAN | single point on PBEsol structure

Geometry as POSCAR:
```
Ba2ReTe
1.0
4.0873 0.0000 0.0000
0.0000 4.0873 0.0000
0.0000 0.0000 7.8933
Ba Re Te
2 1 1
direct
0.0000 0.0000 0.2461
0.0000 0.0000 0.7539
0.5000 0.5000 0.0000
0.5000 0.5000 0.5000
```

total energy	-186.34	eV/f.u.
formation energy from raw total energies	0.28	eV/atom
symmetry	P4/mmm

# 5
BaReTe3 | meta-GGA SCAN | single point on PBEsol structure

Geometry as POSCAR:
```
BaReTe3
1.0
6.2575 0.0000 0.0000
0.0000 6.2575 0.0000
0.0000 0.0000 6.2575
Ba Re Te
1 1 3
direct
0.0000 0.0000 0.0000
0.5000 0.5000 0.5000
0.0000 0.0000 0.5000
0.0000 0.5000 0.0000
0.5000 0.0000 0.0000
```

total energy	-214.56	eV/f.u.
formation energy from raw total energies	1.57	eV/atom
symmetry	Pm-3m

# 6
Ba2ReTe | meta-GGA SCAN | single point on PBEsol structure

Geometry as POSCAR:
```
Ba2ReTe
1.0
7.7113 0.0000 0.0000
0.0000 7.7113 0.0000
0.0000 0.0000 7.7113
Ba Re Te
8 4 4
direct
0.0000 0.0000 0.0000
0.0000 0.5000 0.5000
0.2500 0.2500 0.2500
0.2500 0.7500 0.7500
0.5000 0.0000 0.5000
0.5000 0.5000 0.0000
0.7500 0.2500 0.7500
0.7500 0.7500 0.2500
0.2500 0.2500 0.7500
0.2500 0.7500 0.2500
0.7500 0.2500 0.2500
0.7500 0.7500 0.7500
0.0000 0.0000 0.5000
0.0000 0.5000 0.0000
0.5000 0.0000 0.0000
0.5000 0.5000 0.5000
```

total energy	-185.03	eV/f.u.
formation energy from raw total energies	0.61	eV/atom
symmetry	F-43m

# 7
BaRe2Te | meta-GGA SCAN | single point on PBEsol structure

Geometry as POSCAR:
```
BaRe2Te
1.0
4.2909 0.0000 0.0000
-2.1454 3.7160 0.0000
0.0000 0.0000 19.1201
Ba Re Te
3 6 3
direct
0.0000 0.0000 0.0000
0.3333 0.6667 0.6667
0.6667 0.3333 0.3333
0.0000 0.0000 0.2092
0.0000 0.0000 0.5211
0.3333 0.6667 0.1877
0.3333 0.6667 0.8758
0.6667 0.3333 0.5425
0.6667 0.3333 0.8544
0.0000 0.0000 0.7909
0.3333 0.6667 0.4576
0.6667 0.3333 0.1242
```

total energy	-219.00	eV/f.u.
formation energy from raw total energies	0.00	eV/atom
symmetry	R3m

# 8
BaTi2Re | meta-GGA SCAN | single point on PBEsol structure

Geometry as POSCAR:
```
BaTi2Re
1.0
6.7054 0.0000 0.0000
0.0000 6.7054 0.0000
0.0000 0.0000 6.7054
Ba Ti Re
4 8 4
direct
0.0000 0.0000 0.0000
0.0000 0.5000 0.5000
0.5000 0.0000 0.5000
0.5000 0.5000 0.0000
0.2500 0.2500 0.2500
0.2500 0.2500 0.7500
0.2500 0.7500 0.2500
0.2500 0.7500 0.7500
0.7500 0.2500 0.2500
0.7500 0.2500 0.7500
0.7500 0.7500 0.2500
0.7500 0.7500 0.7500
0.0000 0.0000 0.5000
0.0000 0.5000 0.0000
0.5000 0.0000 0.0000
0.5000 0.5000 0.5000
```

total energy	-139.33	eV/f.u.
symmetry	Fm-3m
ΔE_f	844	meV/atom

# 9
BaYRe | meta-GGA SCAN | single point on PBEsol structure

Geometry as POSCAR:
```
BaYRe
1.0
6.8146 0.0000 0.0000
0.0000 6.8146 0.0000
0.0000 0.0000 6.8146
Ba Y Re
4 4 4
direct
0.0000 0.0000 0.0000
0.0000 0.5000 0.5000
0.5000 0.0000 0.5000
0.5000 0.5000 0.0000
0.2500 0.2500 0.7500
0.2500 0.7500 0.2500
0.7500 0.2500 0.2500
0.7500 0.7500 0.7500
0.2500 0.2500 0.2500
0.2500 0.7500 0.7500
0.7500 0.2500 0.7500
0.7500 0.7500 0.2500
```

total energy	-132.86	eV/f.u.
symmetry	F-43m
ΔE_f	1875	meV/atom

# 10
Ba3YRe | meta-GGA SCAN | single point on PBEsol structure

Geometry as POSCAR:
```
Ba3YRe
1.0
6.0801 0.0000 0.0000
0.0000 6.0801 0.0000
0.0000 0.0000 6.0801
Ba Y Re
3 1 1
direct
0.0000 0.0000 0.5000
0.0000 0.5000 0.0000
0.5000 0.0000 0.0000
0.0000 0.0000 0.0000
0.5000 0.5000 0.5000
```

total energy	-208.18	eV/f.u.
symmetry	Pm-3m
ΔE_f	1881	meV/atom

# 11
BaZnRe2 | meta-GGA SCAN | single point on PBEsol structure

Geometry as POSCAR:
```
BaZnRe2
1.0
3.2090 0.0000 0.0000
0.0000 5.5298 0.0000
0.0000 0.0000 9.9757
Ba Zn Re
2 2 4
direct
0.0000 0.0000 0.0000
0.5000 0.5000 0.5000
0.0000 0.5000 0.8016
0.5000 0.0000 0.3016
0.0000 0.0000 0.5265
0.0000 0.5000 0.1998
0.5000 0.0000 0.6998
0.5000 0.5000 0.0265
```

total energy	-191.16	eV/f.u.
symmetry	Imm2
ΔE_f	1024	meV/atom

# 12
Ba3ZnRe | meta-GGA SCAN | single point on PBEsol structure

Geometry as POSCAR:
```
Ba3ZnRe
1.0
5.8128 0.0000 0.0000
0.0000 5.8128 0.0000
0.0000 0.0000 5.8128
Ba Zn Re
3 1 1
direct
0.0000 0.0000 0.5000
0.0000 0.5000 0.0000
0.5000 0.0000 0.0000
0.5000 0.5000 0.5000
0.0000 0.0000 0.0000
```

total energy	-199.61	eV/f.u.
symmetry	Pm-3m
ΔE_f	732	meV/atom